Record 1
# TmRu3 | Alexandria | GGA-PBE | optimized geometry
data_TmRu3
_chemical_formula_sum 'Tm1 Ru3'
_space_group_name_H-M_alt 'P 1'
_space_group_IT_number 1
_cell_length_a 4.935
_cell_length_b 4.935
_cell_length_c 4.935
_cell_angle_alpha 132.06
_cell_angle_beta 132.06
_cell_angle_gamma 70.14
loop_
_space_group_symop_operation_xyz
'x,y,z'
loop_
_atom_site_label
_atom_site_type_symbol
_atom_site_fract_x
_atom_site_fract_y
_atom_site_fract_z
Ru1 Ru 0.750 0.250 0.500
Ru2 Ru 0.250 0.750 0.500
Ru3 Ru 0.500 0.500 0.000
Tm1 Tm 0.000 0.000 0.000
# Space-group type = No. 139
# Formation energy = 0.1026 eV per atom
# Density = 12.07 g/cm³

Record 2
# Pm4Ag | Alexandria | GGA-PBE | optimized geometry
data_Pm4Ag
_chemical_formula_sum 'Pm8 Ag2'
_space_group_name_H-M_alt 'P 1'
_space_group_IT_number 1
_cell_length_a 7.015
_cell_length_b 7.015
_cell_length_c 8.339
_cell_angle_alpha 100.47
_cell_angle_beta 100.47
_cell_angle_gamma 124.61
loop_
_space_group_symop_operation_xyz
'x,y,z'
loop_
_atom_site_label
_atom_site_type_symbol
_atom_site_fract_x
_atom_site_fract_y
_atom_site_fract_z
Pm1 Pm 0.741 0.106 0.891
Pm2 Pm 0.128 0.492 0.713
Pm3 Pm 0.664 0.529 0.787
Pm4 Pm 0.100 0.965 0.609
Pm5 Pm 0.742 0.878 0.213
Pm6 Pm 0.215 0.850 0.109
Pm7 Pm 0.356 0.491 0.391
Pm8 Pm 0.779 0.414 0.287
Ag1 Ag 0.540 0.040 0.500
Ag2 Ag 0.290 0.290 0.000
# Space-group type = No. 43
# Formation energy = -0.0084 eV per atom
# E above lowest polymorph = 0 meV per atom
# Density = 7.35 g/cm³

Record 3
# ThMgBe | Alexandria | GGA-PBE | optimized geometry
data_ThMgBe
_chemical_formula_sum 'Th2 Mg2 Be2'
_space_group_name_H-M_alt 'P 1'
_space_group_IT_number 1
_cell_length_a 3.822
_cell_length_b 4.174
_cell_length_c 8.751
_cell_angle_alpha 76.20
_cell_angle_beta 90.00
_cell_angle_gamma 90.00
loop_
_space_group_symop_operation_xyz
'x,y,z'
loop_
_atom_site_label
_atom_site_type_symbol
_atom_site_fract_x
_atom_site_fract_y
_atom_site_fract_z
Be1 Be 0.250 0.466 0.068
Be2 Be 0.750 0.534 0.932
Mg1 Mg 0.250 0.295 0.409
Mg2 Mg 0.750 0.705 0.591
Th1 Th 0.750 0.913 0.174
Th2 Th 0.250 0.087 0.826
# Space-group type = No. 63
# Formation energy = 0.0473 eV per atom
# Density = 6.50 g/cm³

Record 4
# KAgPbS2 | Alexandria | GGA-PBE | optimized geometry
data_KAgPbS2
_chemical_formula_sum 'K2 Ag2 Pb2 S4'
_space_group_name_H-M_alt 'P 1'
_space_group_IT_number 1
_cell_length_a 4.307
_cell_length_b 8.229
_cell_length_c 9.056
_cell_angle_alpha 91.82
_cell_angle_beta 90.00
_cell_angle_gamma 105.17
loop_
_space_group_symop_operation_xyz
'x,y,z'
loop_
_atom_site_label
_atom_site_type_symbol
_atom_site_fract_x
_atom_site_fract_y
_atom_site_fract_z
Ag1 Ag 0.695 0.391 0.059
Ag2 Ag 0.305 0.609 0.941
K1 K 0.310 0.620 0.322
K2 K 0.690 0.380 0.678
S1 S 0.869 0.738 0.072
S2 S 0.131 0.262 0.928
S3 S 0.652 0.303 0.335
S4 S 0.348 0.697 0.665
Pb1 Pb 0.061 0.122 0.206
Pb2 Pb 0.939 0.878 0.794
# Space-group type = No. 12
# Formation energy (no corrections) = -0.556 eV/atom
# Density = 4.49 g/cm³